DFT (GGA+U) results for crystalline FeSiF at its relaxed geometry.

## Properties
magnetization: 2.596 μB/f.u.
calculated volume: 87 Å³ per cell
E above lowest polymorph: 0.00 eV per formula unit
SG: P4/nmm

Geometry as POSCAR:
```
FeSiF
1.0
2.976 0.000 0.000
0.000 2.976 0.000
0.000 0.000 9.813
Fe Si F
2 2 2
Direct
0.250 0.250 0.078 Fe
0.750 0.750 0.922 Fe
0.250 0.250 0.794 Si
0.750 0.750 0.206 Si
0.250 0.250 0.630 F
0.750 0.750 0.370 F
```